! PBE-GGA Ca2AsPb, relaxed; values from VASP
! Size of the total moment = 0.00 μB per formula unit
! Energy of formation from the pure elements = -0.536 eV per atom
! Distance to the lowest polymorph of the same formula = 202 meV/atom
&SYSTEM
  ibrav = 0, nat = 16, ntyp = 3
/
ATOMIC_SPECIES
Ca 40.08 Ca.upf
As 74.92 As.upf
Pb 207.20 Pb.upf
ATOMIC_POSITIONS crystal
Ca 0.206 0.250 0.125
Ca 0.250 0.706 0.375
Ca 0.250 0.794 0.875
Ca 0.294 0.250 0.625
Ca 0.706 0.750 0.625
Ca 0.750 0.206 0.875
Ca 0.750 0.294 0.375
Ca 0.794 0.750 0.125
As 0.000 0.000 0.000
As 0.000 0.500 0.250
As 0.500 0.000 0.750
As 0.500 0.500 0.500
Pb 0.000 0.000 0.500
Pb 0.000 0.500 0.750
Pb 0.500 0.000 0.250
Pb 0.500 0.500 0.000
CELL_PARAMETERS angstrom
8.377 0.000 0.000
0.000 8.377 0.000
0.000 0.000 6.893